Density functional theory data (GGA-PBE) for crystalline KIn11Ga at its relaxed geometry.

Unit cell a=8.237 b=8.237 c=8.182 alpha=97.06 beta=97.06 gamma=135.23
Element x y z (fractional)
K  0.000  0.000  0.000
In  0.000  0.000  0.500
In  0.000  0.500  0.000
In  0.011  0.361  0.362
In  0.293  0.505  0.781
In  0.361  0.011  0.362
In  0.495  0.707  0.219
In  0.500  0.000  0.000
In  0.505  0.293  0.781
In  0.639  0.989  0.638
In  0.707  0.495  0.219
In  0.989  0.639  0.638
Ga  0.500  0.500  0.500

- density of states at the Fermi level (states/eV/f.u.) = 4.85
- space group = C2/m
- energy of formation (meV per atom) = -14